The following is a DFT calculation (PBE-GGA) of crystalline HoBe2AlPd5 at its relaxed geometry.

Total magnetization   0.0 μB per cell
Formation energy   -0.632 eV per atom
Space group   P4/mmm

Structure (extended XYZ):
```
9
Lattice="4.372 0.000 0.000 0.000 4.372 0.000 0.000 0.000 7.082" Properties=species:S:1:pos:R:3 pbc="T T T"
Ho 0.000 0.000 0.000
Be 2.186 2.186 2.405
Be 2.186 2.186 4.676
Al 0.000 0.000 3.541
Pd 0.000 2.186 2.040
Pd 0.000 2.186 5.042
Pd 2.186 0.000 2.040
Pd 2.186 0.000 5.042
Pd 2.186 2.186 0.000
```



The following is a DFT calculation (PBE-GGA) of crystalline MgFeW2 at its relaxed geometry.

Total magnetization   1.7 μB per cell
Formation energy   0.525 eV per atom
Space group   P4/mmm

Structure (extended XYZ):
```
4
Lattice="3.277 0.000 0.000 0.000 3.277 0.000 0.000 0.000 5.861" Properties=species:S:1:pos:R:3 pbc="T T T"
Mg 0.000 0.000 0.000
Fe 0.000 0.000 2.930
W 1.639 1.639 1.706
W 1.639 1.639 4.155
```



The following is a DFT calculation (PBE-GGA) of crystalline Pr2Zn5Au at its relaxed geometry.

Total magnetization   0.0 μB per cell
Formation energy   -0.428 eV per atom
Space group   Cmcm

Structure (extended XYZ):
```
16
Lattice="2.202 -8.330 0.000 2.202 8.330 0.000 0.000 0.000 9.045" Properties=species:S:1:pos:R:3 pbc="T T T"
Pr 0.000 0.000 0.000
Pr 0.000 0.000 4.522
Pr 2.202 4.998 6.784
Pr 2.202 -4.998 2.261
Zn 2.202 5.238 0.983
Zn 2.202 5.238 3.540
Zn 2.202 2.568 0.176
Zn 2.202 2.568 4.347
Zn 2.202 1.720 6.784
Zn 2.202 -1.720 2.261
Zn 2.202 -2.568 4.698
Zn 2.202 -2.568 8.869
Zn 2.202 -5.238 5.505
Zn 2.202 -5.238 8.062
Au 2.202 0.890 2.261
Au 2.202 -0.890 6.784
```



What is the formation energy in the third record?
-0.428 eV per atom



formation energy of number 1 (HoBe2AlPd5)?
-0.632 eV per atom



What did the third record say?
The following is a DFT calculation (PBE-GGA) of crystalline Pr2Zn5Au at its relaxed geometry.

Total magnetization   0.0 μB per cell
Formation energy   -0.428 eV per atom
Space group   Cmcm

Structure (extended XYZ):
```
16
Lattice="2.202 -8.330 0.000 2.202 8.330 0.000 0.000 0.000 9.045" Properties=species:S:1:pos:R:3 pbc="T T T"
Pr 0.000 0.000 0.000
Pr 0.000 0.000 4.522
Pr 2.202 4.998 6.784
Pr 2.202 -4.998 2.261
Zn 2.202 5.238 0.983
Zn 2.202 5.238 3.540
Zn 2.202 2.568 0.176
Zn 2.202 2.568 4.347
Zn 2.202 1.720 6.784
Zn 2.202 -1.720 2.261
Zn 2.202 -2.568 4.698
Zn 2.202 -2.568 8.869
Zn 2.202 -5.238 5.505
Zn 2.202 -5.238 8.062
Au 2.202 0.890 2.261
Au 2.202 -0.890 6.784
```



total magnetization of number 2 (MgFeW2)?
1.7 μB per cell